1.
Compound: SmThU
Source: Alexandria
Functional: PBE
Structure: relaxed

## Properties
Energy of formation from the pure elements = 234 meV per atom
Total magnetization = 0.0 Bohr magnetons per cell

a b c (Å): 17.167 3.624 5.833
angles (deg): 90.00 99.23 90.00
Fractional positions:
Sm  0.064  0.000  0.281
Sm  0.436  0.500  0.719
Sm  0.564  0.500  0.281
Sm  0.936  0.000  0.719
Th  0.127  0.500  0.804
Th  0.373  0.000  0.196
Th  0.627  0.000  0.804
Th  0.873  0.500  0.196
U  0.237  0.500  0.352
U  0.263  0.000  0.648
U  0.737  0.000  0.352
U  0.763  0.500  0.648

2.
Compound: SmThV
Source: Alexandria
Functional: PBE
Structure: relaxed

## Properties
Energy of formation from the pure elements = 250 meV per atom
Total magnetization = 0.0 Bohr magnetons per cell

a b c (Å): 3.632 4.603 9.954
angles (deg): 101.65 90.05 90.01
Fractional positions:
Sm  0.250  0.206  0.398
Sm  0.750  0.794  0.602
Th  0.250  0.405  0.837
Th  0.750  0.595  0.163
V  0.250  0.066  0.083
V  0.750  0.934  0.917

3.
Compound: SmTh2V
Source: Alexandria
Functional: PBE
Structure: relaxed

## Properties
Energy of formation from the pure elements = 634 meV per atom
Total magnetization = 6.4 Bohr magnetons per cell

a b c (Å): 3.403 3.403 34.681
angles (deg): 90.00 90.00 120.00
Fractional positions:
Sm  0.000  0.000  0.000
Sm  0.333  0.667  0.667
Sm  0.667  0.333  0.333
Th  0.000  0.000  0.422
Th  0.000  0.000  0.578
Th  0.333  0.667  0.089
Th  0.333  0.667  0.244
Th  0.667  0.333  0.756
Th  0.667  0.333  0.911
V  0.000  0.000  0.500
V  0.333  0.667  0.167
V  0.667  0.333  0.833

4.
Compound: Sm2ThV
Source: Alexandria
Functional: PBE
Structure: relaxed

## Properties
Energy of formation from the pure elements = 618 meV per atom
Total magnetization = 9.5 Bohr magnetons per cell

a b c (Å): 3.446 3.446 34.505
angles (deg): 90.00 90.00 120.00
Fractional positions:
Sm  0.000  0.000  0.083
Sm  0.000  0.000  0.917
Sm  0.333  0.667  0.584
Sm  0.333  0.667  0.749
Sm  0.667  0.333  0.251
Sm  0.667  0.333  0.416
Th  0.000  0.000  0.500
Th  0.333  0.667  0.167
Th  0.667  0.333  0.833
V  0.000  0.000  0.000
V  0.333  0.667  0.667
V  0.667  0.333  0.333

5.
Compound: SmThW4
Source: Alexandria
Functional: PBE
Structure: relaxed

## Properties
Energy of formation from the pure elements = 196 meV per atom
Total magnetization = 0.0 Bohr magnetons per cell

a b c (Å): 5.610 5.610 5.610
angles (deg): 60.00 60.00 60.00
Fractional positions:
Sm  0.000  0.000  0.000
Th  0.250  0.250  0.250
W  0.126  0.625  0.625
W  0.625  0.126  0.625
W  0.625  0.625  0.126
W  0.625  0.625  0.625

6.
Compound: Sm4Y6Th
Source: Alexandria
Functional: PBE
Structure: relaxed

## Properties
Energy of formation from the pure elements = 132 meV per atom
Total magnetization = 0.0 Bohr magnetons per cell

a b c (Å): 5.660 5.660 25.923
angles (deg): 90.00 90.00 118.59
Fractional positions:
Sm  0.027  0.973  0.622
Sm  0.027  0.973  0.878
Sm  0.341  0.659  0.543
Sm  0.341  0.659  0.957
Sm  0.659  0.341  0.043
Sm  0.659  0.341  0.457
Sm  0.973  0.027  0.122
Sm  0.973  0.027  0.378
Y  0.000  0.000  0.000
Y  0.000  0.000  0.500
Y  0.021  0.979  0.750
Y  0.314  0.686  0.103
Y  0.314  0.686  0.397
Y  0.355  0.645  0.683
Y  0.355  0.645  0.817
Y  0.645  0.355  0.183
Y  0.645  0.355  0.317
Y  0.686  0.314  0.603
Y  0.686  0.314  0.897
Y  0.979  0.021  0.250
Th  0.314  0.686  0.250
Th  0.686  0.314  0.750

7.
Compound: SmY5Th
Source: Alexandria
Functional: PBE
Structure: relaxed

## Properties
Energy of formation from the pure elements = 200 meV per atom
Total magnetization = 0.0 Bohr magnetons per cell

a b c (Å): 9.353 9.353 8.762
angles (deg): 94.06 94.06 141.41
Fractional positions:
Sm  0.013  0.987  0.750
Sm  0.987  0.013  0.250
Y  0.039  0.727  0.039
Y  0.111  0.484  0.354
Y  0.273  0.961  0.461
Y  0.353  0.647  0.750
Y  0.484  0.111  0.854
Y  0.516  0.889  0.146
Y  0.647  0.353  0.250
Y  0.727  0.039  0.539
Y  0.889  0.516  0.646
Y  0.961  0.273  0.961
Th  0.500  0.500  0.000
Th  0.500  0.500  0.500

8.
Compound: Sm3Y3Th2
Source: Alexandria
Functional: PBE
Structure: relaxed

## Properties
Energy of formation from the pure elements = 29 meV per atom
Total magnetization = 0.0 Bohr magnetons per cell

a b c (Å): 5.072 5.075 20.488
angles (deg): 90.00 90.00 90.00
Fractional positions:
Sm  0.000  0.000  0.000
Sm  0.000  0.500  0.129
Sm  0.000  0.500  0.871
Sm  0.500  0.000  0.371
Sm  0.500  0.000  0.629
Sm  0.500  0.500  0.500
Y  0.000  0.000  0.500
Y  0.000  0.500  0.372
Y  0.000  0.500  0.628
Y  0.500  0.000  0.128
Y  0.500  0.000  0.872
Y  0.500  0.500  0.000
Th  0.000  0.000  0.250
Th  0.000  0.000  0.750
Th  0.500  0.500  0.250
Th  0.500  0.500  0.750